1.
A relaxed SiNiBi2 crystal. Source: OQMD via LeMat-Bulk, functional PBE.

The structure in CIF format:
```
data_SiNiBi2
_cell_length_a 7.138
_cell_length_b 7.138
_cell_length_c 7.138
_cell_angle_alpha 90.00
_cell_angle_beta 90.00
_cell_angle_gamma 90.00
_space_group_name_H-M_alt 'F -4 3 m'
_space_group_IT_number 216
_space_group_name_Hall 'F -4 2 3'
loop_
_atom_site_label
_atom_site_fract_x
_atom_site_fract_y
_atom_site_fract_z
_atom_site_occupancy
Si1 0.000 0.000 0.000 1
Ni1 0.250 0.250 0.750 1
Bi1 0.000 0.000 0.500 1
Bi2 0.250 0.250 0.250 1
```

* VASP energy: -4.11 eV per atom

2.
A relaxed SmNi2SnBi crystal. Source: OQMD via LeMat-Bulk, functional PBE.

The structure in CIF format:
```
data_SmNi2SnBi
_cell_length_a 4.445
_cell_length_b 4.445
_cell_length_c 10.414
_cell_angle_alpha 90.00
_cell_angle_beta 90.00
_cell_angle_gamma 90.00
_space_group_name_H-M_alt 'P 4/n m m'
_space_group_IT_number 129
loop_
_space_group_symop_operation_xyz
'x,y,z'
'-x,-y,-z'
'-y+1/2,x,z'
'y+1/2,-x,-z'
'-x+1/2,-y+1/2,z'
'x+1/2,y+1/2,-z'
'y,-x+1/2,z'
'-y,x+1/2,-z'
'x+1/2,-y,-z'
'-x+1/2,y,z'
'-y,-x,-z'
'y,x,z'
'-x,y+1/2,-z'
'x,-y+1/2,z'
'y+1/2,x+1/2,-z'
'-y+1/2,-x+1/2,z'
loop_
_atom_site_label
_atom_site_fract_x
_atom_site_fract_y
_atom_site_fract_z
_atom_site_occupancy
Sm1 0.250 0.250 0.246 1
Ni1 0.250 0.250 0.623 1
Ni2 0.250 0.750 0.000 1
Sn1 0.250 0.750 0.500 1
Bi1 0.250 0.250 0.868 1
```

* VASP energy: -5.23 eV per atom

3.
A relaxed Ni2Sn3Bi2 crystal. Source: OQMD via LeMat-Bulk, functional PBE.

The structure in CIF format:
```
data_Ni2Sn3Bi2
_cell_length_a 4.3348
_cell_length_b 4.3348
_cell_length_c 30.0703
_cell_angle_alpha 90.00
_cell_angle_beta 90.00
_cell_angle_gamma 120.00
_space_group_name_H-M_alt 'R 3 m'
_space_group_IT_number 160
_space_group_name_Hall 'R 3 -2"'
loop_
_atom_site_label
_atom_site_fract_x
_atom_site_fract_y
_atom_site_fract_z
_atom_site_occupancy
Ni1 0.0000 0.0000 0.0000 1
Ni2 0.0000 0.0000 0.4496 1
Sn1 0.0000 0.0000 0.0882 1
Sn2 0.0000 0.0000 0.3593 1
Sn3 0.0000 0.0000 0.8211 1
Bi1 0.0000 0.0000 0.2176 1
Bi2 0.0000 0.0000 0.6215 1
```

* VASP energy: -4.48 eV per atom

4.
A relaxed SrNi5Bi3 crystal. Source: OQMD via LeMat-Bulk, functional PBE.

The structure in CIF format:
```
data_SrNi5Bi3
_cell_length_a 4.189
_cell_length_b 13.250
_cell_length_c 12.884
_cell_angle_alpha 90.00
_cell_angle_beta 90.00
_cell_angle_gamma 90.00
_space_group_name_H-M_alt 'C m c m'
_space_group_IT_number 63
_space_group_name_Hall '-C 2c 2'
loop_
_atom_site_label
_atom_site_fract_x
_atom_site_fract_y
_atom_site_fract_z
_atom_site_occupancy
Sr1 0.000 0.190 0.250 1
Ni1 0.000 0.000 0.000 1
Ni2 0.000 0.177 0.572 1
Ni3 0.000 0.456 0.141 1
Bi1 0.000 0.089 0.750 1
Bi2 0.000 0.370 0.545 1
```

* VASP energy: -4.71 eV per atom